# Ho6Cd5Rh

A relaxed structure of Ho6Cd5Rh (PBE-GGA, the Alexandria database).

Unit cell a=5.178 b=7.379 c=8.182 alpha=90.00 beta=71.55 gamma=90.00
Element x y z (fractional)
Cd: 0.322 0.000 0.355
Ho: 0.500 0.769 0.000
Cd: 0.328 0.500 0.343
Ho: 0.844 0.761 0.311
Ho: 0.844 0.239 0.311
Cd: 0.000 0.500 0.000
Rh: 0.000 0.000 0.000
Ho: 0.500 0.231 0.000
Ho: 0.156 0.239 0.689
Cd: 0.672 0.500 0.657
Cd: 0.678 0.000 0.645
Ho: 0.156 0.761 0.689

- density of states at the Fermi level (states/eV/atom) = 0.63
- total energy (Ha/atom) = -0.1359